First-principles (GGA-PBE) data for crystalline LaGe2IrPt at its relaxed geometry, as listed in OQMD via LeMat-Bulk.

Unit cell a=4.3050 b=4.3050 c=10.3962 alpha=90.00 beta=90.00 gamma=90.00
Closest atoms and distances in Å follow each position.
Element x y z (fractional)
1 Ge 0.5000 0.0000 0.1268  1 Pt 2.51, 4 Ir 2.52
2 Ge 0.0000 0.0000 0.5000  4 Pt 2.55
3 Ge 0.0000 0.5000 0.8732  1 Pt 2.51, 4 Ir 2.52
4 Ge 0.5000 0.5000 0.5000  4 Pt 2.55
5 Pt 0.0000 0.5000 0.6318  5 Ge 2.51-2.55
6 Pt 0.5000 0.0000 0.3682  5 Ge 2.51-2.55
7 Ir 0.0000 0.0000 0.0000  4 Ge 2.52
8 Ir 0.5000 0.5000 0.0000  4 Ge 2.52
9 La 0.5000 0.0000 0.7481  4 Pt 3.28, 8 Ge 3.31-3.36, 4 Ir 3.39
10 La 0.0000 0.5000 0.2519  4 Pt 3.28, 8 Ge 3.31-3.36, 4 Ir 3.39

Total energy, eV per cell: -67.31
Space group: P4/nmm (129)

=====

First-principles (GGA-PBE) data for crystalline La3Ge4Ir2Pt2 at its relaxed geometry, as listed in OQMD via LeMat-Bulk.

Unit cell a=13.1106 b=13.1106 c=13.1106 alpha=161.67 beta=160.93 gamma=26.58
Closest atoms and distances in Å follow each position.
Element x y z (fractional)
1 La 0.0000 0.0000 0.0000  8 Ge 3.27, 4 Pt 3.28
2 La 0.6476 0.1476 0.5000  4 Pt 3.26, 6 Ge 3.26-3.27, 4 Ir 3.34-3.40
3 La 0.3524 0.8524 0.5000  4 Pt 3.26, 6 Ge 3.26-3.27, 4 Ir 3.34-3.40
4 Ir 0.7498 0.7498 0.0000  4 Ge 2.49-2.55
5 Ir 0.2502 0.2502 0.0000  4 Ge 2.49-2.55
6 Pt 0.0989 0.5989 0.5000  3 Ge 2.51
7 Pt 0.9011 0.4011 0.5000  3 Ge 2.51
8 Ge 0.5495 0.5495 0.0000  2 Pt 2.51, 1 Ge 2.52
9 Ge 0.8026 0.3026 0.5000  4 Ir 2.49-2.55, 1 Pt 2.51
10 Ge 0.1974 0.6974 0.5000  4 Ir 2.49-2.55, 1 Pt 2.51
11 Ge 0.4505 0.4505 0.0000  2 Pt 2.51, 1 Ge 2.52

Total energy, eV per cell: -73.94
Space group: Immm (71)

=====

First-principles (GGA-PBE) data for crystalline LaSi2GeIr at its relaxed geometry, as listed in OQMD via LeMat-Bulk.

Unit cell a=5.8902 b=5.8902 c=5.8902 alpha=136.76 beta=136.76 gamma=62.80
Closest atoms and distances in Å follow each position.
Element x y z (fractional)
1 Si 0.3421 0.8421 0.5000  2 Ir 2.39, 2 Ge 2.67
2 Si 0.8421 0.3421 0.5000  2 Ir 2.39, 2 Ge 2.67
3 Ge 0.9966 0.9966 0.0000  1 Ir 2.47, 4 Si 2.67
4 Ir 0.2426 0.2426 0.0000  4 Si 2.39, 1 Ge 2.47
5 La 0.5797 0.5797 0.0000  4 Ge 3.18, 8 Si 3.23-3.42, 5 Ir 3.39-3.48

Total energy, eV per cell: -33.35
Space group: I4mm (107)

=====

First-principles (GGA-PBE) data for crystalline LaSiGe3Ir6 at its relaxed geometry, as listed in OQMD via LeMat-Bulk.

Unit cell a=7.1898 b=7.1898 c=3.9429 alpha=90.00 beta=90.00 gamma=120.00
Closest atoms and distances in Å follow each position.
Element x y z (fractional)
1 Ir 0.5295 0.0591 0.0000  1 Si 2.44, 4 Ge 2.60
2 Ir 0.2034 0.4069 0.5000  2 Ge 2.49, 2 Si 2.55
3 Ir 0.9409 0.4705 0.0000  1 Si 2.44, 4 Ge 2.60
4 Ir 0.5295 0.4705 0.0000  1 Si 2.44, 4 Ge 2.60
5 Ir 0.5931 0.7966 0.5000  2 Ge 2.49, 2 Si 2.55
6 Ir 0.2034 0.7966 0.5000  2 Ge 2.49, 2 Si 2.55
7 Ge 0.8030 0.1970 0.5000  6 Ir 2.49-2.60
8 Ge 0.3941 0.1970 0.5000  6 Ir 2.49-2.60
9 Ge 0.8030 0.6059 0.5000  6 Ir 2.49-2.60
10 La 0.0000 0.0000 0.0000  6 Ge 3.15, 6 Ir 3.21
11 Si 0.3333 0.6667 0.0000  9 Ir 2.44-2.55

Total energy, eV per cell: -84.25
Space group: P-6m2 (187)

=====

First-principles (GGA-PBE) data for crystalline LaSnGeIr2 at its relaxed geometry, as listed in OQMD via LeMat-Bulk.

Unit cell a=4.4467 b=4.4467 c=10.5126 alpha=90.00 beta=90.00 gamma=90.00
Closest atoms and distances in Å follow each position.
Element x y z (fractional)
1 Ir 0.5000 0.5000 0.0000  4 Sn 2.65
2 Ir 0.0000 0.5000 0.6121  4 Ge 2.52, 1 Sn 2.63
3 Ir 0.5000 0.0000 0.3879  4 Ge 2.52, 1 Sn 2.63
4 Ir 0.0000 0.0000 0.0000  4 Sn 2.65
5 Sn 0.5000 0.0000 0.1377  5 Ir 2.63-2.65
6 Sn 0.0000 0.5000 0.8623  5 Ir 2.63-2.65
7 Ge 0.5000 0.5000 0.5000  4 Ir 2.52
8 Ge 0.0000 0.0000 0.5000  4 Ir 2.52
9 La 0.5000 0.0000 0.7346  4 Ge 3.32, 9 Ir 3.40-3.64, 4 Sn 3.42
10 La 0.0000 0.5000 0.2654  4 Ge 3.32, 9 Ir 3.40-3.64, 4 Sn 3.42

Total energy, eV per cell: -69.27
Space group: P4/nmm (129)

=====

First-principles (GGA-PBE) data for crystalline LaYGe2Ir at its relaxed geometry, as listed in OQMD via LeMat-Bulk.

Unit cell a=5.8889 b=5.8889 c=11.1283 alpha=115.23 beta=115.23 gamma=42.55
Closest atoms and distances in Å follow each position.
Element x y z (fractional)
1 Y 0.0915 0.0915 0.3927  2 Ir 2.95, 6 Ge 3.03-3.19
2 Y 0.9085 0.9085 0.6073  2 Ir 2.95, 6 Ge 3.03-3.19
3 Ge 0.6184 0.6184 0.6088  1 Ir 2.55, 1 Ge 2.62
4 Ge 0.3816 0.3816 0.3912  1 Ir 2.55, 1 Ge 2.62
5 Ge 0.0438 0.0438 0.9137  2 Ir 2.50, 1 Ge 2.51
6 Ge 0.9562 0.9562 0.0863  2 Ir 2.50, 1 Ge 2.51
7 Ir 0.4449 0.4449 0.1972  3 Ge 2.50-2.55
8 Ir 0.5551 0.5551 0.8028  3 Ge 2.50-2.55
9 La 0.7064 0.7064 0.1504  7 Ge 3.13-3.29, 4 Ir 3.14-3.44
10 La 0.2936 0.2936 0.8496  7 Ge 3.13-3.29, 4 Ir 3.14-3.44

Total energy, eV per cell: -67.77
Space group: C2/m (12)

=====

First-principles (GGA-PBE) data for crystalline LiGeIr2 at its relaxed geometry, as listed in OQMD via LeMat-Bulk.

Unit cell a=5.3318 b=7.8831 c=5.4123 alpha=90.00 beta=90.00 gamma=90.00
Closest atoms and distances in Å follow each position.
Element x y z (fractional)
1 Ir 0.6843 0.5165 0.1823  3 Ge 2.46-2.62, 2 Li 2.62-2.67
2 Ir 0.8157 0.5165 0.6823  3 Ge 2.46-2.62, 2 Li 2.62-2.67
3 Ir 0.3157 0.4835 0.8177  3 Ge 2.46-2.62, 2 Li 2.62-2.67
4 Ir 0.3157 0.0165 0.8177  3 Ge 2.46-2.62, 2 Li 2.62-2.67
5 Ir 0.8157 0.9835 0.6823  3 Ge 2.46-2.62, 2 Li 2.62-2.67
6 Ir 0.1843 0.0165 0.3177  3 Ge 2.46-2.62, 2 Li 2.62-2.67
7 Ir 0.6843 0.9835 0.1823  3 Ge 2.46-2.62, 2 Li 2.62-2.67
8 Ir 0.1843 0.4835 0.3177  3 Ge 2.46-2.62, 2 Li 2.62-2.67
9 Li 0.9453 0.2500 0.0484  3 Ge 2.54-2.69, 4 Ir 2.62-2.67
10 Li 0.4453 0.7500 0.4516  3 Ge 2.54-2.69, 4 Ir 2.62-2.67
11 Li 0.0547 0.7500 0.9516  3 Ge 2.54-2.69, 4 Ir 2.62-2.67
12 Li 0.5547 0.2500 0.5484  3 Ge 2.54-2.69, 4 Ir 2.62-2.67
13 Ge 0.0526 0.2500 0.5909  6 Ir 2.46-2.62, 3 Li 2.54-2.69
14 Ge 0.5526 0.7500 0.9091  6 Ir 2.46-2.62, 3 Li 2.54-2.69
15 Ge 0.9474 0.7500 0.4091  6 Ir 2.46-2.62, 3 Li 2.54-2.69
16 Ge 0.4474 0.2500 0.0909  6 Ir 2.46-2.62, 3 Li 2.54-2.69

Total energy, eV per cell: -101.83
Space group: Pnma (62)

=====

First-principles (GGA-PBE) data for crystalline LiGeIr2 at its relaxed geometry, as listed in OQMD via LeMat-Bulk.

Unit cell a=4.2882 b=4.2882 c=7.5115 alpha=90.00 beta=90.00 gamma=120.00
Closest atoms and distances in Å follow each position.
Element x y z (fractional)
1 Li 0.0000 0.0000 0.7500  3 Ge 2.48
2 Li 0.0000 0.0000 0.2500  3 Ge 2.48
3 Ir 0.3333 0.6667 0.4225  1 Ge 2.46, 4 Ir 2.59-2.74
4 Ir 0.6667 0.3333 0.9225  1 Ge 2.46, 4 Ir 2.59-2.74
5 Ir 0.6667 0.3333 0.5775  1 Ge 2.46, 4 Ir 2.59-2.74
6 Ir 0.3333 0.6667 0.0775  1 Ge 2.46, 4 Ir 2.59-2.74
7 Ge 0.6667 0.3333 0.2500  2 Ir 2.46, 3 Li 2.48
8 Ge 0.3333 0.6667 0.7500  2 Ir 2.46, 3 Li 2.48

Total energy, eV per cell: -47.90
Space group: P6_3/mmc (194)

=====

First-principles (GGA-PBE) data for crystalline LiGeIr at its relaxed geometry, as listed in OQMD via LeMat-Bulk.

Unit cell a=4.0720 b=4.0720 c=6.1400 alpha=90.00 beta=90.00 gamma=90.00
Closest atoms and distances in Å follow each position.
Element x y z (fractional)
1 Ge 0.5000 0.0000 0.7337  4 Ir 2.49, 1 Li 2.73
2 Ge 0.0000 0.5000 0.2663  4 Ir 2.49, 1 Li 2.73
3 Li 0.5000 0.0000 0.1787  5 Ge 2.73-2.93, 4 Ir 2.84
4 Li 0.0000 0.5000 0.8213  5 Ge 2.73-2.93, 4 Ir 2.84
5 Ir 0.0000 0.0000 0.5000  4 Ge 2.49
6 Ir 0.5000 0.5000 0.5000  4 Ge 2.49

Total energy, eV per cell: -33.62
Space group: P4/nmm (129)

=====

First-principles (GGA-PBE) data for crystalline LiGeIr2 at its relaxed geometry, as listed in OQMD via LeMat-Bulk.

Unit cell a=4.2742 b=4.2742 c=7.5918 alpha=90.00 beta=90.00 gamma=120.00
Closest atoms and distances in Å follow each position.
Element x y z (fractional)
1 Ir 0.3333 0.6667 0.5868  1 Ir 2.48, 3 Li 2.55, 4 Ge 2.56-2.76
2 Ir 0.3333 0.6667 0.9132  1 Ir 2.48, 3 Li 2.55, 4 Ge 2.56-2.76
3 Ir 0.6667 0.3333 0.4132  1 Ir 2.48, 3 Li 2.55, 4 Ge 2.56-2.76
4 Ir 0.6667 0.3333 0.0868  1 Ir 2.48, 3 Li 2.55, 4 Ge 2.56-2.76
5 Li 0.0000 0.0000 0.0000  6 Ir 2.55
6 Li 0.0000 0.0000 0.5000  6 Ir 2.55
7 Ge 0.3333 0.6667 0.2500  8 Ir 2.56-2.76
8 Ge 0.6667 0.3333 0.7500  8 Ir 2.56-2.76

Total energy, eV per cell: -48.39
Space group: P6_3/mmc (194)

=====

First-principles (GGA-PBE) data for crystalline LiGeIr2 at its relaxed geometry, as listed in OQMD via LeMat-Bulk.

Unit cell a=3.0171 b=3.0171 c=5.8315 alpha=90.00 beta=90.00 gamma=90.00
Closest atoms and distances in Å follow each position.
Element x y z (fractional)
1 Ge 0.0000 0.0000 0.0000  8 Ir 2.59
2 Ir 0.5000 0.5000 0.2510  4 Li 2.58, 4 Ge 2.59
3 Ir 0.5000 0.5000 0.7490  4 Li 2.58, 4 Ge 2.59
4 Li 0.0000 0.0000 0.5000  8 Ir 2.58

Total energy, eV per cell: -25.16
Space group: P4/mmm (123)

=====

First-principles (GGA-PBE) data for crystalline LiGeIr2 at its relaxed geometry, as listed in OQMD via LeMat-Bulk.

Unit cell a=4.3073 b=4.3073 c=4.3073 alpha=60.00 beta=60.00 gamma=60.00
Closest atoms and distances in Å follow each position.
Element x y z (fractional)
1 Ir 0.0000 0.0000 0.0000  4 Ir 2.64, 4 Li 2.64
2 Ir 0.7500 0.7500 0.7500  4 Ge 2.64, 4 Ir 2.64
3 Li 0.2500 0.2500 0.2500  4 Ge 2.64, 4 Ir 2.64
4 Ge 0.5000 0.5000 0.5000  4 Li 2.64, 4 Ir 2.64

Total energy, eV per cell: -24.40
Space group: F-43m (216)